# 1
This record from the Alexandria database describes an optimized crystal structure of RbPt. The functional is PBE.

Total DFT energy (no corrections), eV/atom: -3.10
Symmetry: No. 166

a = 5.348 Å, b = 5.348 Å, c = 5.348 Å
α = 63.12°, β = 63.12°, γ = 63.12°
Sites, in units of the cell vectors:
Rb  0.631  0.631  0.631
Rb  0.369  0.369  0.369
Pt  0.901  0.901  0.901
Pt  0.099  0.099  0.099

***

# 2
This record from the Alexandria database describes an optimized crystal structure of In4Hg3Pb4. The functional is PBE.

Total DFT energy (no corrections), eV/atom: -2.40
Symmetry: No. 2

a = 3.575 Å, b = 8.162 Å, c = 15.881 Å
α = 43.08°, β = 97.00°, γ = 91.12°
Sites, in units of the cell vectors:
Hg  0.360  0.356  0.728
Hg  0.640  0.644  0.272
Hg  0.000  0.000  0.000
Pb  0.462  0.434  0.919
Pb  0.823  0.809  0.642
Pb  0.538  0.566  0.081
Pb  0.177  0.191  0.358
In  0.900  0.937  0.806
In  0.270  0.289  0.536
In  0.730  0.711  0.464
In  0.100  0.063  0.194

***

The evaluated energy of formation for the records listed, in turn: 0.41 0.02 eV/atom.